1.
## SmGdTlCo2 (PBE)

Data for an optimized crystal structure of SmGdTlCo2.

Values from the calculation:
**Final energy**: -5.443 eV/atom

Geometry as CIF:
```
data_SmGdTlCo2
_chemical_formula_sum 'Sm2 Gd2 Tl2 Co4'
_symmetry_space_group_name_H-M 'A m m 2'
_symmetry_Int_Tables_number 38
_cell_length_a 3.946
_cell_length_b 3.838
_cell_length_c 14.031
_cell_angle_alpha 90.00
_cell_angle_beta 90.00
_cell_angle_gamma 90.00
loop_
_symmetry_equiv_pos_as_xyz
'x,y,z'
'-x,-y,z'
'-x,y,z'
'x,-y,z'
'x,y+1/2,z+1/2'
'-x,-y+1/2,z+1/2'
'-x,y+1/2,z+1/2'
'x,-y+1/2,z+1/2'
loop_
_atom_site_label
_atom_site_type_symbol
_atom_site_fract_x
_atom_site_fract_y
_atom_site_fract_z
_atom_site_occupancy
Sm1 Sm 0.000 0.000 0.000 1
Gd1 Gd 0.000 0.000 0.722 1
Tl1 Tl 0.500 0.000 0.360 1
Co1 Co 0.500 0.000 0.154 1
Co2 Co 0.500 0.000 0.571 1
```

2.
## DyTlCoTe3 (PBE)

Data for an optimized crystal structure of DyTlCoTe3.

Values from the calculation:
**Final energy**: -4.519 eV/atom

Geometry as CIF:
```
data_DyTlCoTe3
_chemical_formula_sum 'Dy4 Tl4 Co4 Te12'
_symmetry_space_group_name_H-M 'P n m a'
_symmetry_Int_Tables_number 62
_cell_length_a 11.333
_cell_length_b 4.205
_cell_length_c 15.763
_cell_angle_alpha 90.00
_cell_angle_beta 90.00
_cell_angle_gamma 90.00
loop_
_symmetry_equiv_pos_as_xyz
'x,y,z'
'-x,-y,-z'
'-x+1/2,-y,z+1/2'
'x+1/2,y,-z+1/2'
'x+1/2,-y+1/2,-z+1/2'
'-x+1/2,y+1/2,z+1/2'
'-x,y+1/2,-z'
'x,-y+1/2,z'
loop_
_atom_site_label
_atom_site_type_symbol
_atom_site_fract_x
_atom_site_fract_y
_atom_site_fract_z
_atom_site_occupancy
Dy1 Dy 0.014 0.250 0.246 1
Tl1 Tl 0.230 0.750 0.501 1
Co1 Co 0.240 0.250 0.720 1
Te1 Te 0.056 0.250 0.622 1
Te2 Te 0.085 0.750 0.115 1
Te3 Te 0.238 0.750 0.819 1
```

3.
## K2LiPdF6 (PBE)

Data for an optimized crystal structure of K2LiPdF6.

Values from the calculation:
**Final energy**: -4.278 eV/atom

Geometry as CIF:
```
data_K2LiPdF6
_chemical_formula_sum 'K4 Li2 Pd2 F12'
_symmetry_space_group_name_H-M 'P -1'
_symmetry_Int_Tables_number 2
_cell_length_a 5.621
_cell_length_b 5.623
_cell_length_c 7.958
_cell_angle_alpha 90.01
_cell_angle_beta 90.00
_cell_angle_gamma 90.02
loop_
_symmetry_equiv_pos_as_xyz
'x,y,z'
'-x,-y,-z'
loop_
_atom_site_label
_atom_site_type_symbol
_atom_site_fract_x
_atom_site_fract_y
_atom_site_fract_z
_atom_site_occupancy
K1 K 0.000 0.000 0.250 1
K2 K 0.500 0.500 0.250 1
Li1 Li 0.000 0.500 0.000 1
Li2 Li 0.500 0.000 0.500 1
Pd1 Pd 0.000 0.500 0.500 1
Pd2 Pd 0.500 0.000 0.000 1
F1 F 0.001 0.500 0.245 1
F2 F 0.240 0.749 0.999 1
F3 F 0.250 0.258 0.000 1
F4 F 0.253 0.243 0.500 1
F5 F 0.258 0.753 0.501 1
F6 F 0.499 0.000 0.254 1
```

4.
## BaSi2PtPb (PBE)

Data for an optimized crystal structure of BaSi2PtPb.

Values from the calculation:
**Final energy**: -4.977 eV/atom

Geometry as CIF:
```
data_BaSi2PtPb
_chemical_formula_sum 'Ba2 Si4 Pt2 Pb2'
_symmetry_space_group_name_H-M 'I 4 m m'
_symmetry_Int_Tables_number 107
_symmetry_space_group_name_Hall 'I 4 -2'
_cell_length_a 4.668
_cell_length_b 4.668
_cell_length_c 10.858
_cell_angle_alpha 90.00
_cell_angle_beta 90.00
_cell_angle_gamma 90.00
loop_
_atom_site_label
_atom_site_type_symbol
_atom_site_fract_x
_atom_site_fract_y
_atom_site_fract_z
_atom_site_occupancy
Ba1 Ba 0.000 0.000 0.000 1
Si1 Si 0.000 0.500 0.259 1
Pt1 Pt 0.000 0.000 0.335 1
Pb1 Pb 0.000 0.000 0.605 1
```